{"formula": "TcAgSN2", "functional": "PBEsol", "state": "optimized geometry", "total_magnetization_mub_per_fu": 1.599, "polymorph_energy_ev_per_atom": 1.698, "sg": "P4/mmm, No. 123", "crystal_system": "tetragonal", "total_energy_ev_per_atom": -5.08, "lattice": [[3.919, 0.000, 0.000], [0.000, 3.919, 0.000], [0.000, 0.000, 4.879]], "species": ["Tc", "Ag", "S", "N", "N"], "frac_coords": [[0.000, 0.000, 0.000], [0.500, 0.500, 0.500], [0.500, 0.500, 0.000], [0.000, 0.500, 0.500], [0.500, 0.000, 0.500]]}

{"formula": "AgWS2N", "functional": "PBEsol", "state": "optimized geometry", "total_magnetization_mub_per_fu": 0.000, "sg": "P4/mmm, No. 123", "crystal_system": "tetragonal", "total_energy_ev_per_atom": -6.73, "lattice": [[4.760, 0.000, 0.000], [0.000, 4.760, 0.000], [0.000, 0.000, 3.790]], "species": ["Ag", "W", "S", "S", "N"], "frac_coords": [[0.000, 0.000, 0.000], [0.500, 0.500, 0.500], [0.000, 0.500, 0.500], [0.500, 0.000, 0.500], [0.500, 0.500, 0.000]]}

{"formula": "ScAgN3", "functional": "PBEsol", "state": "optimized geometry", "total_magnetization_mub_per_fu": 0.001, "sg": "Pm-3m, No. 221", "crystal_system": "cubic", "total_energy_ev_per_atom": -5.83, "lattice": [[4.102, 0.000, 0.000], [0.000, 4.102, 0.000], [0.000, 0.000, 4.102]], "species": ["Sc", "Ag", "N", "N", "N"], "frac_coords": [[0.000, 0.000, 0.000], [0.500, 0.500, 0.500], [0.000, 0.000, 0.500], [0.000, 0.500, 0.000], [0.500, 0.000, 0.000]]}

{"formula": "ScAgTeN2", "functional": "PBEsol", "state": "optimized geometry", "total_magnetization_mub_per_fu": 1.839, "sg": "P4/mmm, No. 123", "crystal_system": "tetragonal", "total_energy_ev_per_atom": -4.94, "lattice": [[4.115, 0.000, 0.000], [0.000, 4.115, 0.000], [0.000, 0.000, 5.312]], "species": ["Sc", "Ag", "Te", "N", "N"], "frac_coords": [[0.000, 0.000, 0.000], [0.500, 0.500, 0.500], [0.500, 0.500, 0.000], [0.000, 0.500, 0.500], [0.500, 0.000, 0.500]]}

{"formula": "AgSeN2", "functional": "PBEsol", "state": "optimized geometry", "total_magnetization_mub_per_fu": 0.000, "sg": "R-3m, No. 166", "crystal_system": "trigonal", "total_energy_ev_per_atom": -5.07, "lattice": [[3.052, 0.000, 0.000], [-1.526, 2.643, 0.000], [0.000, 0.000, 18.801]], "species": ["Ag", "Ag", "Ag", "Se", "Se", "Se", "N", "N", "N", "N", "N", "N"], "frac_coords": [[0.000, 0.000, 0.000], [0.333, 0.667, 0.667], [0.667, 0.333, 0.333], [0.000, 0.000, 0.500], [0.333, 0.667, 0.167], [0.667, 0.333, 0.833], [0.000, 0.000, 0.109], [0.000, 0.000, 0.891], [0.333, 0.667, 0.557], [0.333, 0.667, 0.776], [0.667, 0.333, 0.224], [0.667, 0.333, 0.443]]}

{"formula": "SiAgSe2N", "functional": "PBEsol", "state": "optimized geometry", "total_magnetization_mub_per_fu": 1.707, "sg": "P4/mmm, No. 123", "crystal_system": "tetragonal", "total_energy_ev_per_atom": -3.87, "lattice": [[5.078, 0.000, 0.000], [0.000, 5.078, 0.000], [0.000, 0.000, 3.861]], "species": ["Si", "Ag", "Se", "Se", "N"], "frac_coords": [[0.000, 0.000, 0.000], [0.500, 0.500, 0.500], [0.000, 0.500, 0.500], [0.500, 0.000, 0.500], [0.500, 0.500, 0.000]]}

| no. | E_form (uncorrected) (eV/atom) |
| --- | --- |
| 1 | 2.12 |
| 2 | 0.16 |
| 3 | 1.27 |
| 4 | 1.16 |
| 5 | 0.99 |
| 6 | 1.19 |